# La4ZrZn5 PBE optimized geometry
# ΔE_f in eV/atom: -0.267
data_La4ZrZn5
_symmetry_space_group_name_H-M 'P 1'
_symmetry_Int_Tables_number 1
_cell_length_a 3.664
_cell_length_b 3.664
_cell_length_c 18.460
_cell_angle_alpha 90.00
_cell_angle_beta 90.00
_cell_angle_gamma 90.00
loop_
_symmetry_equiv_pos_as_xyz
'x,y,z'
loop_
_atom_site_label
_atom_site_fract_x
_atom_site_fract_y
_atom_site_fract_z
_atom_site_occupancy
La1 0.000 0.000 0.185 1
La2 0.000 0.000 0.395 1
La3 0.000 0.000 0.605 1
La4 0.000 0.000 0.815 1
Zr1 0.000 0.000 0.000 1
Zn1 0.500 0.500 0.076 1
Zn2 0.500 0.500 0.291 1
Zn3 0.500 0.500 0.500 1
Zn4 0.500 0.500 0.709 1
Zn5 0.500 0.500 0.924 1